The following is a PBE calculation of an optimized crystal structure of MgSc2ReI, from Alexandria via LeMat-Bulk.

The structure in CIF format:
```
data_MgSc2ReI
_chemical_formula_sum 'Mg1 Sc2 Re1 I1'
_cell_length_a 5.1726
_cell_length_b 5.1726
_cell_length_c 5.0660
_cell_angle_alpha 90.00
_cell_angle_beta 90.00
_cell_angle_gamma 90.00
_space_group_name_H-M_alt 'P 4/m m m'
_space_group_IT_number 123
_space_group_name_Hall '-P 4 2'
loop_
_atom_site_label
_atom_site_type_symbol
_atom_site_fract_x
_atom_site_fract_y
_atom_site_fract_z
Mg1 Mg 0.0000 0.0000 0.0000
Sc1 Sc 0.0000 0.5000 0.5000
Re1 Re 0.5000 0.5000 0.0000
I1 I 0.0000 0.0000 0.5000
```

E, eV for the cell shown: -21.6
DOS at the Fermi energy, states/eV/cell: 4.250
Spin magnetization, μB/f.u.: 2.10